<one>
A geometry-optimized V4Mo2W structure. Source: Alexandria via LeMat-Bulk, functional GGA-PBE.

Results
V (Å³/atom): 15.414
D(E_F) (states/eV/cell): 15.462
Space group: P-1 (2)

Cell lengths 5.2165, 6.6943, 6.7358 Å; angles 80.88, 72.90, 74.47 degrees
With the nearest neighbours (Å) after each atom.
Positions (direct):
V 0.1296 0.3509 0.3549  1 W 2.50, 1 Mo 2.58, 1 V 2.69
V 0.1411 0.8603 0.8537  1 W 2.51, 2 V 2.64-2.75, 3 Mo 2.65-2.77
V 0.1968 0.2460 0.7412  2 Mo 2.41-2.66, 3 V 2.43-2.69, 1 W 2.55
V 0.2771 0.7415 0.2473  1 V 2.43, 3 Mo 2.48, 1 W 2.66
V 0.7229 0.2585 0.7527  1 V 2.43, 3 Mo 2.48, 1 W 2.66
V 0.8032 0.7540 0.2588  2 Mo 2.41-2.66, 3 V 2.43-2.69, 1 W 2.55
V 0.8589 0.1397 0.1463  1 W 2.51, 2 V 2.64-2.75, 3 Mo 2.65-2.77
V 0.8704 0.6491 0.6451  1 W 2.50, 1 Mo 2.58, 1 V 2.69
Mo 0.0000 0.0000 0.5000  6 V 2.48-2.65, 2 Mo 2.61
Mo 0.5000 0.0000 0.0000  6 V 2.48-2.77
Mo 0.5000 0.0000 0.5000  2 V 2.41, 2 Mo 2.61
Mo 0.5000 0.5000 0.5000  4 V 2.48-2.66
W 0.2556 0.4820 0.9788  5 V 2.50-2.74, 2 W 2.55-2.72
W 0.7444 0.5180 0.0212  5 V 2.50-2.74, 2 W 2.55-2.72

<two>
A geometry-optimized V4Mo2W structure. Source: Alexandria via LeMat-Bulk, functional GGA-PBE.

Results
V (Å³/atom): 14.824
D(E_F) (states/eV/cell): 9.174
Space group: P-1 (2)

Cell lengths 2.6153, 6.7779, 6.8031 Å; angles 117.47, 98.52, 95.95 degrees
With the nearest neighbours (Å) after each atom.
Positions (direct):
V 0.1059 0.3606 0.0664  5 V 2.52-2.78, 1 W 2.64, 2 Mo 2.72-2.81
V 0.2453 0.2171 0.6492  2 Mo 2.61-2.82, 5 V 2.62-2.78, 1 W 2.62
V 0.7547 0.7829 0.3508  2 Mo 2.61-2.82, 5 V 2.62-2.78, 1 W 2.62
V 0.8941 0.6394 0.9336  5 V 2.52-2.78, 1 W 2.64, 2 Mo 2.72-2.81
Mo 0.4662 0.0653 0.2152  4 V 2.61-2.82, 3 Mo 2.62-2.68, 1 W 2.66
Mo 0.5338 0.9347 0.7848  4 V 2.61-2.82, 3 Mo 2.62-2.68, 1 W 2.66
W 0.5000 0.5000 0.5000  2 W 2.62, 4 V 2.62-2.64, 2 Mo 2.66

<three>
A geometry-optimized V4Mo2W structure. Source: Alexandria via LeMat-Bulk, functional GGA-PBE.

Results
V (Å³/atom): 18.149
D(E_F) (states/eV/cell): 9.713
Space group: I4/mmm (139)

Cell lengths 6.9526, 6.9526, 6.9526 Å; angles 141.90, 141.90, 54.98 degrees
With the nearest neighbours (Å) after each atom.
Positions (direct):
V 0.0000 0.5000 0.5000  2 W 2.27
V 0.1976 0.1976 0.0000  1 Mo 2.22, 1 W 2.44
V 0.5000 0.0000 0.5000  2 W 2.27
V 0.8024 0.8024 0.0000  1 Mo 2.22, 1 W 2.44
Mo 0.3777 0.3777 0.0000  1 V 2.22
Mo 0.6223 0.6223 0.0000  1 V 2.22
W 0.0000 0.0000 0.0000  6 V 2.27-2.44

Relative stability in kJ/mol of atoms, measured from the most stable structure: <one> 26.4; <two> 0.0; <three> 115.8

<one>
A geometry-optimized V3MoW2 structure. Source: Alexandria via LeMat-Bulk, functional GGA-PBE.

Results
V (Å³/atom): 14.786
D(E_F) (states/eV/cell): 10.361
Space group: P2/m (10)

Cell lengths 4.4496, 8.5812, 5.1426 Å; angles 90.00, 115.37, 90.00 degrees
With the nearest neighbours (Å) after each atom.
Positions (direct):
V 0.0000 0.2474 0.0000  2 Mo 2.63, 2 W 2.66, 4 V 2.71-2.72
V 0.0000 0.7526 0.0000  2 Mo 2.63, 2 W 2.66, 4 V 2.71-2.72
V 0.3332 0.2496 0.6665  1 Mo 2.64, 3 W 2.64-2.65, 4 V 2.70-2.72
V 0.3332 0.7504 0.6665  1 Mo 2.64, 3 W 2.64-2.65, 4 V 2.70-2.72
V 0.6668 0.2496 0.3335  1 Mo 2.64, 3 W 2.64-2.65, 4 V 2.70-2.72
V 0.6668 0.7504 0.3335  1 Mo 2.64, 3 W 2.64-2.65, 4 V 2.70-2.72
Mo 0.1672 0.0000 0.3345  4 V 2.63-2.64, 2 Mo 2.70-2.71, 2 W 2.71-2.72
Mo 0.8328 0.0000 0.6655  4 V 2.63-2.64, 2 Mo 2.70-2.71, 2 W 2.71-2.72
W 0.1665 0.5000 0.3330  4 V 2.65-2.66, 4 W 2.70-2.72
W 0.5000 0.0000 0.0000  4 V 2.64, 4 Mo 2.71-2.72
W 0.5000 0.5000 0.0000  4 V 2.65, 4 W 2.70-2.72
W 0.8335 0.5000 0.6670  4 V 2.65-2.66, 4 W 2.70-2.72

<two>
A geometry-optimized V3MoW2 structure. Source: Alexandria via LeMat-Bulk, functional GGA-PBE.

Results
V (Å³/atom): 15.640
D(E_F) (states/eV/cell): 11.897
Space group: C2/m (12)

Cell lengths 6.8574, 6.8574, 6.6538 Å; angles 95.23, 95.23, 37.06 degrees
With the nearest neighbours (Å) after each atom.
Positions (direct):
V 0.0778 0.0778 0.3750  3 W 2.58-2.66, 3 V 2.67-2.74, 1 Mo 2.73
V 0.3078 0.3078 0.5398  5 V 2.63-2.67, 2 W 2.64, 1 Mo 2.70
V 0.3891 0.3891 0.9180  5 W 2.57-2.71, 1 V 2.63
V 0.6109 0.6109 0.0820  5 W 2.57-2.71, 1 V 2.63
V 0.6922 0.6922 0.4602  5 V 2.63-2.67, 2 W 2.64, 1 Mo 2.70
V 0.9222 0.9222 0.6250  3 W 2.58-2.66, 3 V 2.67-2.74, 1 Mo 2.73
Mo 0.1498 0.1498 0.7743  5 W 2.65-2.68, 2 V 2.70-2.73
Mo 0.8502 0.8502 0.2257  5 W 2.65-2.68, 2 V 2.70-2.73
W 0.2316 0.2316 0.1572  5 V 2.58-2.71, 3 Mo 2.66-2.68
W 0.4620 0.4620 0.3088  5 V 2.57-2.68, 1 W 2.64, 2 Mo 2.65
W 0.5380 0.5380 0.6912  5 V 2.57-2.68, 1 W 2.64, 2 Mo 2.65
W 0.7684 0.7684 0.8428  5 V 2.58-2.71, 3 Mo 2.66-2.68

Relative stability in kJ/mol of atoms, measured from the most stable structure: <one> 0.0; <two> 27.6

<one>
A geometry-optimized V2Mo5W4 structure. Source: Alexandria via LeMat-Bulk, functional GGA-PBE.

Results
V (Å³/atom): 19.251
D(E_F) (states/eV/cell): 11.658
Space group: Immm (71)

Cell lengths 12.2541, 12.2541, 12.2541 Å; angles 166.41, 150.66, 32.46 degrees
With the nearest neighbours (Å) after each atom.
Positions (direct):
V 0.0915 0.0915 0.0000  4 Mo 2.35-2.60
V 0.9085 0.9085 0.0000  4 Mo 2.35-2.60
Mo 0.0000 0.5000 0.5000  4 W 2.44, 4 V 2.60
Mo 0.0819 0.8333 0.2486  1 V 2.35, 1 W 2.62
Mo 0.4153 0.1667 0.2486  1 V 2.35, 1 W 2.62
Mo 0.5847 0.8333 0.7514  1 V 2.35, 1 W 2.62
Mo 0.9181 0.1667 0.7514  1 V 2.35, 1 W 2.62
W 0.2565 0.2565 0.0000  6 Mo 2.62-2.79, 2 W 2.90
W 0.3171 0.0000 0.3171  1 W 2.27, 2 Mo 2.44
W 0.6829 0.0000 0.6829  1 W 2.27, 2 Mo 2.44
W 0.7435 0.7435 0.0000  6 Mo 2.62-2.79, 2 W 2.90

<two>
A geometry-optimized V2Mo5W4 structure. Source: Alexandria via LeMat-Bulk, functional GGA-PBE.

Results
V (Å³/atom): 15.998
D(E_F) (states/eV/cell): 10.803
Space group: P2/m (10)

Cell lengths 6.9339, 2.9742, 8.6718 Å; angles 90.00, 100.26, 90.00 degrees
With the nearest neighbours (Å) after each atom.
Positions (direct):
V 0.0666 0.0000 0.1208  1 V 2.13
V 0.9334 0.0000 0.8792  1 V 2.13
Mo 0.1898 0.0000 0.6360  2 Mo 2.63-2.79, 6 W 2.72-2.78
Mo 0.4326 0.0000 0.1855  1 V 2.50, 2 Mo 2.68-2.79, 2 W 2.78
Mo 0.5000 0.0000 0.5000  4 Mo 2.63-2.68, 4 W 2.90
Mo 0.5674 0.0000 0.8145  1 V 2.50, 2 Mo 2.68-2.79, 2 W 2.78
Mo 0.8102 0.0000 0.3640  2 Mo 2.63-2.79, 6 W 2.72-2.78
W 0.1497 0.5000 0.3700  2 V 2.60, 6 Mo 2.72-2.90
W 0.2692 0.5000 0.9081  4 V 2.74-2.92, 6 Mo 2.76-2.88, 2 W 2.97
W 0.7308 0.5000 0.0919  4 V 2.74-2.92, 6 Mo 2.76-2.88, 2 W 2.97
W 0.8503 0.5000 0.6300  2 V 2.60, 6 Mo 2.72-2.90

Relative stability in kJ/mol of atoms, measured from the most stable structure: <one> 91.8; <two> 0.0

<one>
A geometry-optimized VMo3W4 structure. Source: Alexandria via LeMat-Bulk, functional GGA-PBE.

Results
V (Å³/atom): 16.042
D(E_F) (states/eV/cell): 10.279
Space group: Pmn2_1 (31)

Cell lengths 8.9247, 5.3467, 5.3791 Å; angles 90.00, 90.00, 90.00 degrees
With the nearest neighbours (Å) after each atom.
Positions (direct):
V 0.0000 0.2478 0.0000  4 Mo 2.67-2.74, 4 W 2.69-2.74
V 0.5000 0.7522 0.5000  4 Mo 2.67-2.74, 4 W 2.69-2.74
Mo 0.0000 0.7480 0.9990  2 V 2.67, 4 W 2.69-2.76, 2 Mo 2.75
Mo 0.2493 0.4125 0.2485  4 W 2.67-2.75, 1 V 2.74, 3 Mo 2.75-2.85
Mo 0.2507 0.5875 0.7485  4 W 2.67-2.75, 1 V 2.74, 3 Mo 2.75-2.85
Mo 0.5000 0.2520 0.4990  2 V 2.67, 4 W 2.69-2.76, 2 Mo 2.75
Mo 0.7493 0.5875 0.7485  4 W 2.67-2.75, 1 V 2.74, 3 Mo 2.75-2.85
Mo 0.7507 0.4125 0.2485  4 W 2.67-2.75, 1 V 2.74, 3 Mo 2.75-2.85
W 0.0000 0.2514 0.4999  4 W 2.67-2.74, 2 V 2.69, 2 Mo 2.74
W 0.0000 0.7514 0.4989  4 W 2.67-2.75, 4 Mo 2.69-2.75
W 0.2493 0.0862 0.7489  3 Mo 2.67-2.76, 1 V 2.74, 4 W 2.74-2.84
W 0.2507 0.9138 0.2489  3 Mo 2.67-2.76, 1 V 2.74, 4 W 2.74-2.84
W 0.5000 0.2486 0.9989  4 W 2.67-2.75, 4 Mo 2.69-2.75
W 0.5000 0.7486 0.9999  4 W 2.67-2.74, 2 V 2.69, 2 Mo 2.74
W 0.7493 0.9138 0.2489  3 Mo 2.67-2.76, 1 V 2.74, 4 W 2.74-2.84
W 0.7507 0.0862 0.7489  3 Mo 2.67-2.76, 1 V 2.74, 4 W 2.74-2.84

<two>
A geometry-optimized VMo3W4 structure. Source: Alexandria via LeMat-Bulk, functional GGA-PBE.

Results
V (Å³/atom): 15.707
D(E_F) (states/eV/cell): 4.060
Space group: Immm (71)

Cell lengths 7.0472, 7.0472, 7.0472 Å; angles 143.07, 143.04, 53.25 degrees
With the nearest neighbours (Å) after each atom.
Positions (direct):
V 0.0000 0.0000 0.0000  4 W 2.72, 4 Mo 2.72
Mo 0.1235 0.6235 0.5000  2 V 2.72, 2 Mo 2.72, 4 W 2.73-2.75
Mo 0.5000 0.5000 0.0000  4 W 2.72, 4 Mo 2.72
Mo 0.8765 0.3765 0.5000  2 V 2.72, 2 Mo 2.72, 4 W 2.73-2.75
W 0.2488 0.2488 0.0000  4 Mo 2.73-2.75, 4 W 2.74-2.75
W 0.3769 0.8769 0.5000  2 Mo 2.72, 2 V 2.72, 4 W 2.74-2.75
W 0.6231 0.1231 0.5000  2 Mo 2.72, 2 V 2.72, 4 W 2.74-2.75
W 0.7512 0.7512 0.0000  4 Mo 2.73-2.75, 4 W 2.74-2.75

Relative stability in kJ/mol of atoms, measured from the most stable structure: <one> 25.1; <two> 0.0

<one>
A geometry-optimized VMo3W2 structure. Source: Alexandria via LeMat-Bulk, functional GGA-PBE.

Results
V (Å³/atom): 15.769
D(E_F) (states/eV/cell): 8.248
Space group: P-1 (2)

Cell lengths 2.6839, 7.7749, 9.5237 Å; angles 74.10, 82.21, 89.95 degrees
With the nearest neighbours (Å) after each atom.
Positions (direct):
V 0.1696 0.0434 0.1190  2 Mo 2.58-2.64, 3 V 2.68-2.80, 2 W 2.70-2.84
V 0.8304 0.9566 0.8810  2 Mo 2.58-2.64, 3 V 2.68-2.80, 2 W 2.70-2.84
Mo 0.2067 0.4573 0.3777  6 Mo 2.68-2.80, 2 W 2.72-2.84
Mo 0.4163 0.2056 0.6271  5 Mo 2.68-2.80, 2 W 2.71-2.78, 2 V 2.91-3.00
Mo 0.4520 0.7184 0.1182  2 V 2.58-2.64, 4 Mo 2.68-2.73, 2 W 2.73-2.76
Mo 0.5480 0.2816 0.8818  2 V 2.58-2.64, 4 Mo 2.68-2.73, 2 W 2.73-2.76
Mo 0.5837 0.7944 0.3729  5 Mo 2.68-2.80, 2 W 2.71-2.78, 2 V 2.91-3.00
Mo 0.7933 0.5427 0.6223  6 Mo 2.68-2.80, 2 W 2.72-2.84
W 0.1072 0.8751 0.6241  4 W 2.68-2.75, 1 V 2.70, 3 Mo 2.71-2.78
W 0.2664 0.6257 0.8736  4 W 2.68-2.86, 3 Mo 2.73-2.84, 1 V 2.84
W 0.7336 0.3743 0.1264  4 W 2.68-2.86, 3 Mo 2.73-2.84, 1 V 2.84
W 0.8928 0.1249 0.3759  4 W 2.68-2.75, 1 V 2.70, 3 Mo 2.71-2.78

<two>
A geometry-optimized VMo3W2 structure. Source: Alexandria via LeMat-Bulk, functional GGA-PBE.

Results
V (Å³/atom): 15.551
D(E_F) (states/eV/cell): 2.708
Space group: Cmmm (65)

Cell lengths 5.2109, 5.2109, 4.4540 Å; angles 90.00, 90.00, 129.51 degrees
With the nearest neighbours (Å) after each atom.
Positions (direct):
V 0.0000 0.0000 0.0000  4 Mo 2.72, 4 W 2.72
Mo 0.1652 0.8348 0.5000  4 Mo 2.71-2.74, 2 V 2.72, 2 W 2.74
Mo 0.5000 0.5000 0.5000  4 Mo 2.71, 4 W 2.72
Mo 0.8348 0.1652 0.5000  4 Mo 2.71-2.74, 2 V 2.72, 2 W 2.74
W 0.3338 0.6662 0.0000  2 V 2.72, 4 Mo 2.72-2.74, 2 W 2.73
W 0.6662 0.3338 0.0000  2 V 2.72, 4 Mo 2.72-2.74, 2 W 2.73

Relative stability in kJ/mol of atoms, measured from the most stable structure: <one> 16.4; <two> 0.0

<one>
A geometry-optimized V2Mo4W3 structure. Source: Alexandria via LeMat-Bulk, functional GGA-PBE.

Results
V (Å³/atom): 16.279
D(E_F) (states/eV/cell): 15.623
Space group: P-1 (2)

Cell lengths 5.3494, 6.8628, 8.9485 Å; angles 75.94, 89.49, 67.46 degrees
With the nearest neighbours (Å) after each atom.
Positions (direct):
V 0.0068 0.0016 0.2426  1 V 2.57, 3 Mo 2.60-2.67, 2 W 2.66-2.69
V 0.1145 0.2863 0.0383  2 V 2.57-2.62, 2 W 2.58-2.69, 4 Mo 2.65-2.80
V 0.8855 0.7137 0.9617  2 V 2.57-2.62, 2 W 2.58-2.69, 4 Mo 2.65-2.80
V 0.9932 0.9984 0.7574  1 V 2.57, 3 Mo 2.60-2.67, 2 W 2.66-2.69
Mo 0.1033 0.2803 0.5390  1 V 2.63, 3 Mo 2.64-2.70, 4 W 2.66-2.90
Mo 0.2083 0.5817 0.2378  3 Mo 2.66-2.72, 2 V 2.67-2.77, 3 W 2.75-2.88
Mo 0.3878 0.7167 0.9623  3 V 2.60-2.70, 2 W 2.64-2.70, 3 Mo 2.65-2.84
Mo 0.4186 0.1479 0.3249  2 W 2.59-2.66, 3 Mo 2.64-2.84, 1 V 2.80
Mo 0.5814 0.8521 0.6751  2 W 2.59-2.66, 3 Mo 2.64-2.84, 1 V 2.80
Mo 0.6122 0.2833 0.0377  3 V 2.60-2.70, 2 W 2.64-2.70, 3 Mo 2.65-2.84
Mo 0.7917 0.4183 0.7622  3 Mo 2.66-2.72, 2 V 2.67-2.77, 3 W 2.75-2.88
Mo 0.8967 0.7197 0.4610  1 V 2.63, 3 Mo 2.64-2.70, 4 W 2.66-2.90
W 0.2076 0.5800 0.7431  2 V 2.69, 2 W 2.69-2.81, 4 Mo 2.70-2.88
W 0.3992 0.7186 0.4601  5 Mo 2.66-2.94, 1 V 2.66, 3 W 2.68-2.85
W 0.4238 0.1405 0.8334  1 V 2.58, 2 Mo 2.59-2.64, 2 W 2.69-2.85
W 0.5762 0.8595 0.1666  1 V 2.58, 2 Mo 2.59-2.64, 2 W 2.69-2.85
W 0.6008 0.2814 0.5399  5 Mo 2.66-2.94, 1 V 2.66, 3 W 2.68-2.85
W 0.7924 0.4200 0.2569  2 V 2.69, 2 W 2.69-2.81, 4 Mo 2.70-2.88

<two>
A geometry-optimized V2Mo4W3 structure. Source: Alexandria via LeMat-Bulk, functional GGA-PBE.

Results
V (Å³/atom): 15.828
D(E_F) (states/eV/cell): 16.092
Space group: Cccm (66)

Cell lengths 7.7225, 7.7225, 4.8573 Å; angles 90.00, 90.00, 100.41 degrees
With the nearest neighbours (Å) after each atom.
Positions (direct):
V 0.0111 0.3378 0.0000  1 V 2.54, 4 Mo 2.62-2.71, 2 W 2.81
V 0.3378 0.0111 0.5000  1 V 2.54, 4 Mo 2.62-2.71, 2 W 2.81
V 0.6622 0.9889 0.5000  1 V 2.54, 4 Mo 2.62-2.71, 2 W 2.81
V 0.9889 0.6622 0.0000  1 V 2.54, 4 Mo 2.62-2.71, 2 W 2.81
Mo 0.1435 0.6810 0.5000  1 Mo 2.58, 2 W 2.59-2.82, 3 V 2.70-2.71
Mo 0.3190 0.8565 0.0000  1 Mo 2.58, 2 W 2.59-2.82, 3 V 2.70-2.71
Mo 0.3306 0.5240 0.0000  1 W 2.55, 4 Mo 2.58-2.82, 1 V 2.62
Mo 0.4760 0.6694 0.5000  1 W 2.55, 4 Mo 2.58-2.82, 1 V 2.62
Mo 0.5240 0.3306 0.5000  1 W 2.55, 4 Mo 2.58-2.82, 1 V 2.62
Mo 0.6694 0.4760 0.0000  1 W 2.55, 4 Mo 2.58-2.82, 1 V 2.62
Mo 0.6810 0.1435 0.0000  1 Mo 2.58, 2 W 2.59-2.82, 3 V 2.70-2.71
Mo 0.8565 0.3190 0.5000  1 Mo 2.58, 2 W 2.59-2.82, 3 V 2.70-2.71
W 0.0000 0.0000 0.2500  2 W 2.43
W 0.0000 0.0000 0.7500  2 W 2.43
W 0.1934 0.3287 0.5000  3 Mo 2.55-2.82, 2 V 2.81
W 0.3287 0.1934 0.0000  3 Mo 2.55-2.82, 2 V 2.81
W 0.6713 0.8066 0.0000  3 Mo 2.55-2.82, 2 V 2.81
W 0.8066 0.6713 0.5000  3 Mo 2.55-2.82, 2 V 2.81

Relative stability in kJ/mol of atoms, measured from the most stable structure: <one> 18.2; <two> 0.0